# PuFeTeO6 PBE+U optimized geometry
# total energy = -7.469 eV/atom
data_PuFeTeO6
_chemical_formula_sum 'Pu2 Fe2 Te2 O12'
_cell_length_a 5.538
_cell_length_b 5.538
_cell_length_c 8.857
_cell_angle_alpha 90.00
_cell_angle_beta 90.00
_cell_angle_gamma 120.00
_space_group_name_H-M_alt 'P 1'
_space_group_IT_number 1
loop_
_space_group_symop_operation_xyz
'x,y,z'
loop_
_atom_site_label
_atom_site_type_symbol
_atom_site_fract_x
_atom_site_fract_y
_atom_site_fract_z
Pu1 Pu 0.667 0.333 0.250
Pu2 Pu 0.333 0.667 0.750
Fe1 Fe 0.000 0.000 0.000
Fe2 Fe 0.000 0.000 0.500
Te1 Te 0.333 0.667 0.250
Te2 Te 0.667 0.333 0.750
O1 O 0.678 0.674 0.125
O2 O 0.996 0.322 0.125
O3 O 0.322 0.996 0.625
O4 O 0.004 0.678 0.875
O5 O 0.326 0.322 0.375
O6 O 0.996 0.674 0.375
O7 O 0.674 0.996 0.875
O8 O 0.678 0.004 0.375
O9 O 0.004 0.326 0.625
O10 O 0.326 0.004 0.125
O11 O 0.674 0.678 0.625
O12 O 0.322 0.326 0.875